Computed, not measured: an optimized crystal structure of Nd3Th5H12 at the PBE level of DFT.

a b c (Å): 13.5996 13.5996 13.5996
angles (deg): 90.00 90.00 90.00
With the nearest neighbours (Å) after each atom.
Space group Ia-3d (No. 230)
One atom of each set of equivalent atoms:
1 Nd 0.0000 0.2500 0.1250 [24 per cell]  8 H 2.37-2.45
2 Th 0.0000 0.0000 0.0000 [16 per cell]  6 H 2.32
3 Th 0.0000 0.2500 0.3750 [24 per cell]  4 H 2.34
4 H 0.0013 0.0721 0.6545 [96 per cell]  2 Th 2.32-2.34, 3 H 2.35-2.60, 2 Nd 2.37-2.45

## Properties
For the uncorrected energy, the calculation gives -792.5 eV per cell. The volume comes out at 2515.2 Å³/cell.

Computed, not measured: an optimized crystal structure of NdThH4 at the PBE level of DFT.

a b c (Å): 3.8767 3.8767 5.4236
angles (deg): 90.00 90.00 90.00
With the nearest neighbours (Å) after each atom.
Space group P4/mmm (No. 123)
One atom of each set of equivalent atoms:
1 Nd 0.0000 0.0000 0.0000 [1 per cell]  8 H 2.38
2 Th 0.5000 0.5000 0.5000 [1 per cell]  8 H 2.35
3 H 0.0000 0.5000 0.2552 [4 per cell]  2 Th 2.35, 2 Nd 2.38

## Properties
For the uncorrected energy, the calculation gives -29.1 eV per cell. The volume comes out at 81.5 Å³/cell.

Computed, not measured: an optimized crystal structure of NdTh2H8 at the PBE level of DFT.

a b c (Å): 3.6293 6.0458 10.9553
angles (deg): 90.00 90.00 90.00
With the nearest neighbours (Å) after each atom.
Space group Immm (No. 71)
One atom of each set of equivalent atoms:
1 Nd 0.0000 0.0000 0.0000 [2 per cell]  12 H 2.38-2.61
2 Th 0.0000 0.0000 0.3305 [4 per cell]  10 H 2.34-2.52
3 H 0.0000 0.2353 0.5000 [4 per cell]  2 Th 2.34, 2 Nd 2.42, 6 H 2.46-2.56
4 H 0.0000 0.2548 0.1651 [8 per cell]  7 H 2.33-2.60, 3 Th 2.34-2.38, 1 Nd 2.38
5 H 0.0000 0.5000 0.3294 [4 per cell]  8 H 2.33-2.46, 2 Th 2.52, 2 Nd 2.61

## Properties
For the uncorrected energy, the calculation gives -103.4 eV per cell. The volume comes out at 240.4 Å³/cell.

Computed, not measured: an optimized crystal structure of NdThH2 at the PBE level of DFT.

a b c (Å): 3.5271 3.5271 19.0995
angles (deg): 90.00 90.00 120.00
With the nearest neighbours (Å) after each atom.
Space group R3m (No. 160, hexagonal axes)
One atom of each set of equivalent atoms:
1 Nd 0.0000 0.0000 0.0000 [3 per cell]  6 H 2.53-2.58
2 Th 0.0000 0.0000 0.1736 [3 per cell]  6 H 2.56-2.68
3 H 0.0000 0.0000 0.4159 [3 per cell]  3 Nd 2.58, 3 Th 2.68
4 H 0.0000 0.0000 0.5883 [3 per cell]  3 Nd 2.53, 3 Th 2.56

## Properties
For the uncorrected energy, the calculation gives -59.2 eV per cell. The offset from the most stable computed form is 0.110 eV/atom. The volume comes out at 205.8 Å³/cell.

Computed, not measured: an optimized crystal structure of Nd3ThH at the PBE level of DFT.

a b c (Å): 5.1445 5.1445 5.1445
angles (deg): 90.00 90.00 90.00
With the nearest neighbours (Å) after each atom.
Space group Pm-3m (No. 221)
One atom of each set of equivalent atoms:
1 Nd 0.0000 0.0000 0.5000 [3 per cell]  2 H 2.57
2 Th 0.5000 0.5000 0.5000 [1 per cell]  12 Nd 3.64
3 H 0.0000 0.0000 0.0000 [1 per cell]  6 Nd 2.57

## Properties
For the uncorrected energy, the calculation gives -25.7 eV per cell. The volume comes out at 136.2 Å³/cell.

Computed, not measured: an optimized crystal structure of NdTh3H8 at the PBE level of DFT.

a b c (Å): 5.4611 5.4611 5.4611
angles (deg): 90.00 90.00 90.00
With the nearest neighbours (Å) after each atom.
Space group Pm-3m (No. 221)
One atom of each set of equivalent atoms:
1 Nd 0.0000 0.0000 0.0000 [1 per cell]  8 H 2.38
2 Th 0.0000 0.5000 0.5000 [3 per cell]  8 H 2.36
3 H 0.2514 0.2514 0.2514 [8 per cell]  3 Th 2.36, 1 Nd 2.38

## Properties
For the uncorrected energy, the calculation gives -60.5 eV per cell. The volume comes out at 162.9 Å³/cell.